#i
GGA-PBE Na3AlAs2O8, relaxed; DOS(E_F) = 0.0 states/eV/f.u.
1.0
5.406 0.000 0.000
-2.703 4.682 0.000
0.000 0.000 6.823
Na Al As O
3 1 2 8
direct
0.333 0.667 0.670
0.667 0.333 0.330
0.000 0.000 0.000
0.000 0.000 0.500
0.333 0.667 0.233
0.667 0.333 0.767
0.333 0.667 0.989
0.667 0.333 0.011
0.163 0.837 0.330
0.837 0.163 0.670
0.163 0.326 0.330
0.837 0.674 0.670
0.674 0.837 0.330
0.326 0.163 0.670

#ii
GGA-PBE Na3AlAs2O8, relaxed; DOS(E_F) = 0.0 states/eV/f.u.
1.0
-0.571 -1.887 -6.401
8.449 -4.297 1.639
-5.723 -9.942 3.442
Na Al As O
12 4 8 32
direct
0.231 0.630 0.153
0.769 0.870 0.653
0.769 0.370 0.847
0.231 0.130 0.347
0.903 0.215 0.082
0.097 0.285 0.582
0.097 0.785 0.918
0.903 0.715 0.418
0.625 0.522 0.605
0.375 0.978 0.105
0.375 0.478 0.395
0.625 0.022 0.895
0.281 0.438 0.853
0.719 0.062 0.353
0.719 0.562 0.147
0.281 0.938 0.647
0.863 0.378 0.326
0.137 0.122 0.826
0.137 0.622 0.674
0.863 0.878 0.174
0.604 0.178 0.584
0.396 0.322 0.084
0.396 0.822 0.416
0.604 0.678 0.916
0.728 0.480 0.405
0.272 0.020 0.905
0.272 0.520 0.595
0.728 0.980 0.095
0.914 0.465 0.197
0.086 0.035 0.697
0.086 0.535 0.803
0.914 0.965 0.303
0.408 0.226 0.511
0.592 0.274 0.011
0.592 0.774 0.489
0.408 0.726 0.989
0.230 0.402 0.997
0.770 0.098 0.497
0.770 0.598 0.003
0.230 0.902 0.503
0.079 0.335 0.383
0.921 0.165 0.883
0.921 0.665 0.617
0.079 0.835 0.117
0.521 0.034 0.673
0.479 0.466 0.173
0.479 0.966 0.327
0.521 0.534 0.827
0.747 0.304 0.656
0.253 0.196 0.156
0.253 0.696 0.344
0.747 0.804 0.844
0.724 0.223 0.280
0.276 0.277 0.780
0.276 0.777 0.720
0.724 0.723 0.220

Of all the structures shown, which is most stable? #ii, and #i is the least stable.